(1)
Entry from Alexandria via LeMat-Bulk: a geometry-optimized LiSmGa2Pd structure (PBE).

The structure belongs to space group I-4m2 (No. 119); the cell edges are 4.104, 4.104 and 11.331 Å and the angles 90.00°, 90.00° and 90.00°. The distinct sites, in fractional coordinates, are Li at (0.000, 0.000, 0.000), Sm at (0.000, 0.500, 0.250), Ga at (0.000, 0.500, 0.635) and Pd at (0.000, 0.000, 0.500).

As for the theoretical density: 7.02 Mg/m³. For the raw total energy, the calculation gives -4.1696 eV per atom. The value obtained for the formation enthalpy at 0 K is -2.969 eV per formula unit.

***

(2)
Entry from Alexandria via LeMat-Bulk: a geometry-optimized AcTbPmPu structure (PBE).

The structure belongs to space group F-43m (No. 216); the cell edges are 8.239, 8.239 and 8.239 Å and the angles 90.00°, 90.00° and 90.00°. The distinct sites, in fractional coordinates, are Ac at (0.000, 0.000, 0.000), Tb at (0.250, 0.250, 0.250), Pm at (0.250, 0.250, 0.750) and Pu at (0.000, 0.000, 0.500).

As for the theoretical density: 9.20 Mg/m³. For the raw total energy, the calculation gives -6.6880 eV per atom. The value obtained for the formation enthalpy at 0 K is 1.069 eV per formula unit.

***

DOS at the Fermi energy, respectively: 4.02, 15.50 states/eV/f.u..